Entry from Alexandria: an optimized crystal structure of PuIrCl (PBE).

Structure (POSCAR):
```
PuIrCl
1.0
4.263 0.000 0.000
0.000 7.466 0.000
-2.125 0.000 10.745
Pu Ir Cl
4 4 4
direct
0.087 0.000 0.175 Pu
0.413 0.500 0.825 Pu
0.587 0.500 0.175 Pu
0.913 0.000 0.825 Pu
0.000 0.333 0.000 Ir
0.000 0.667 0.000 Ir
0.500 0.167 0.000 Ir
0.500 0.833 0.000 Ir
0.170 0.500 0.341 Cl
0.330 0.000 0.659 Cl
0.670 0.000 0.341 Cl
0.830 0.500 0.659 Cl
```

Values from the calculation:
Fermi-level density of states   11.32 states/eV/f.u.
E_tot   -112.3 eV per cell